# Li4Nb2V3Sn3O16

Crystalline Li4Nb2V3Sn3O16 at its relaxed geometry (PBE with a Hubbard U, Alexandria via LeMat-Bulk). Values from VASP.

The structure in Quantum ESPRESSO input format:
```
&SYSTEM
  ibrav = 0, nat = 28, ntyp = 5
/
ATOMIC_SPECIES
Li 6.94 Li.upf
O 16.00 O.upf
Sn 118.71 Sn.upf
V 50.94 V.upf
Nb 92.91 Nb.upf
CELL_PARAMETERS angstrom
6.258 0.009 0.002
3.175 5.393 0.002
0.117 0.067 9.873
ATOMIC_POSITIONS angstrom
Li 9.494 5.437 9.760
Li 9.484 5.431 4.916
Li 3.146 1.802 3.987
Li 6.475 3.708 8.896
O 4.857 4.520 5.825
O 4.698 2.691 8.398
O 1.507 0.863 0.950
O 0.147 0.084 7.955
O 1.894 2.640 8.412
O 6.357 1.901 5.825
O 3.163 1.812 5.964
O 6.265 5.161 3.424
O 4.872 2.790 3.374
O 3.235 0.297 8.412
O 7.898 4.523 5.822
O 7.622 2.792 3.424
O 4.690 0.932 0.911
O 3.177 3.574 0.911
O 9.437 5.404 3.094
O 6.243 3.575 1.003
Sn 1.707 0.978 7.076
Sn 4.757 4.489 2.122
Sn 6.279 1.831 2.122
V 7.830 4.484 2.099
V 4.774 0.981 7.025
V 3.262 3.621 7.025
Nb 6.444 3.690 4.918
Nb 3.442 1.971 9.643
```

Output
M_tot: 8.9 μB/f.u.
final energy: -0.25874 hartree per atom